The following is a PBE calculation of a geometry-optimized Y2Hf4S3N3 structure, from the Open Quantum Materials Database.

```
data_Y2Hf4S3N3
_cell_length_a 5.915
_cell_length_b 5.915
_cell_length_c 12.630
_cell_angle_alpha 103.50
_cell_angle_beta 103.50
_cell_angle_gamma 59.95
_space_group_name_H-M_alt 'P 1'
_space_group_IT_number 1
_space_group_name_Hall 'P 1'
loop_
_atom_site_label
_atom_site_type_symbol
_atom_site_fract_x
_atom_site_fract_y
_atom_site_fract_z
_atom_site_occupancy
Hf1 Hf 0.028 0.204 0.096 1
Hf2 Hf 0.699 0.861 0.096 1
Hf3 Hf 0.139 0.301 0.404 1
Hf4 Hf 0.796 0.972 0.404 1
Hf5 Hf 0.204 0.028 0.596 1
Hf6 Hf 0.861 0.699 0.596 1
Hf7 Hf 0.301 0.139 0.904 1
Hf8 Hf 0.972 0.796 0.904 1
N1 N 0.675 0.149 0.000 1
N2 N 0.000 0.500 0.000 1
N3 N 0.325 0.851 0.000 1
N4 N 0.149 0.675 0.500 1
N5 N 0.500 0.000 0.500 1
N6 N 0.851 0.325 0.500 1
S1 S 0.415 0.226 0.248 1
S2 S 0.060 0.940 0.250 1
S3 S 0.774 0.585 0.252 1
S4 S 0.226 0.415 0.748 1
S5 S 0.940 0.060 0.750 1
S6 S 0.585 0.774 0.752 1
Y1 Y 0.374 0.536 0.107 1
Y2 Y 0.464 0.626 0.393 1
Y3 Y 0.536 0.374 0.607 1
Y4 Y 0.626 0.464 0.893 1
```

- space group = No. 15
- calculated density (g cm⁻³) = 9.29
- E (eV/atom) = -9.134